{"formula": "SrFeMo2", "functional": "PBE", "state": "relaxed", "formation_enthalpy_0k_kj_per_mol_atoms": 121.2, "e_above_lowest_polymorph_kj_per_mol_fu": 249.5, "n_ef_per_ev_cell": 5.21, "lattice_angstrom": [[0.000, 3.224, 3.224], [3.224, 0.000, 3.224], [3.224, 3.224, 0.000]], "species": ["Mo", "Mo", "Fe", "Sr"], "fractional_positions": [[0.750, 0.750, 0.750], [0.250, 0.250, 0.250], [0.000, 0.000, 0.000], [0.500, 0.500, 0.500]]}

{"formula": "KNaSr", "functional": "PBE", "state": "relaxed", "formation_enthalpy_0k_kj_per_mol_atoms": 6.2, "e_above_lowest_polymorph_kj_per_mol_fu": 12.8, "n_ef_per_ev_cell": 2.42, "lattice_angstrom": [[4.344, 0.000, 0.000], [0.000, 4.344, 0.000], [-2.172, -2.172, 8.517]], "species": ["Na", "K", "Sr"], "fractional_positions": [[0.671, 0.671, 0.342], [0.014, 0.014, 0.027], [0.315, 0.315, 0.631]]}

{"formula": "Li2PaI8", "functional": "PBE", "state": "relaxed", "raw_formation_energy_ev_per_atom": -0.8872, "e_above_lowest_polymorph_kj_per_mol_fu": 0.0, "n_ef_per_ev_cell": 2.29, "lattice_angstrom": [[-3.042, 4.229, -4.138], [-3.798, -6.544, -4.752], [-7.097, 0.960, 5.342]], "species": ["Pa", "I", "I", "I", "I", "I", "I", "I", "I", "Li", "Li"], "fractional_positions": [[0.000, 0.000, 0.000], [0.218, 0.949, 0.275], [0.749, 0.514, 0.514], [0.708, 0.195, 0.195], [0.292, 0.805, 0.805], [0.782, 0.725, 0.051], [0.251, 0.486, 0.486], [0.218, 0.275, 0.949], [0.782, 0.051, 0.725], [0.283, 0.260, 0.260], [0.717, 0.740, 0.740]]}

{"formula": "PuIn2Au6", "functional": "PBE", "state": "relaxed", "formation_enthalpy_0k_kj_per_mol_atoms": -21.0, "n_ef_per_ev_cell": 14.16, "lattice_angstrom": [[3.392, 0.000, 0.000], [1.696, 7.980, 0.780], [1.696, 3.038, 7.420]], "species": ["Au", "Au", "Au", "Au", "Au", "Au", "In", "In", "Pu"], "fractional_positions": [[0.824, 0.846, 0.506], [0.176, 0.154, 0.494], [0.824, 0.506, 0.846], [0.000, 0.828, 0.172], [0.000, 0.172, 0.828], [0.176, 0.494, 0.154], [0.354, 0.146, 0.146], [0.646, 0.854, 0.854], [0.500, 0.500, 0.500]]}

{"formula": "TcNiP2", "functional": "PBE", "state": "relaxed", "formation_enthalpy_0k_kj_per_mol_atoms": -21.5, "e_above_lowest_polymorph_kj_per_mol_fu": 46.8, "n_ef_per_ev_cell": 1.55, "lattice_angstrom": [[2.990, 0.000, 0.000], [0.000, 2.990, 0.000], [0.000, 0.000, 5.531]], "species": ["Ni", "P", "P", "Tc"], "fractional_positions": [[0.500, 0.500, 0.750], [0.000, 0.000, 0.507], [0.000, 0.000, 0.993], [0.500, 0.500, 0.250]]}